# 1
ZnTcAs3, optimized geometry, DFT PBE; symmetry = Pm-3m, No. 221; E = -0.3391 Ry per atom; distance to the lowest polymorph of the same formula = 0.000 kcal/mol of atoms; ΔE_f = 0.504 eV per atom; Fermi-level density of states = 3.3 states/eV/cell; total magnetization = 0.00 μB/f.u.
1.0
4.835 0.000 0.000
0.000 4.835 0.000
0.000 0.000 4.835
Zn Tc As
1 1 3
Direct
0.000 0.000 0.000
0.500 0.500 0.500
0.000 0.500 0.500
0.500 0.000 0.500
0.500 0.500 0.000

=====

# 2
CsHfCu2S4, optimized geometry, DFT PBE; symmetry = I222, No. 23; E = -0.3859 Ry per atom; Fermi-level density of states = 12.2 states/eV/cell; total magnetization = 0.43 μB/f.u.; formation energy without anion corrections = -0.8123 eV per atom
1.0
6.033 0.000 0.000
0.000 8.601 0.000
0.000 0.000 9.282
Cs Hf Cu S
2 2 4 8
Direct
0.000 0.000 0.000
0.500 0.500 0.500
0.000 0.000 0.500
0.500 0.500 0.000
0.000 0.500 0.130
0.000 0.500 0.870
0.500 0.000 0.370
0.500 0.000 0.630
0.228 0.161 0.348
0.228 0.839 0.652
0.272 0.339 0.848
0.272 0.661 0.152
0.728 0.339 0.152
0.728 0.661 0.848
0.772 0.161 0.652
0.772 0.839 0.348

=====

# 3
VCr3Re, optimized geometry, DFT PBE; symmetry = P-1, No. 2; E = -0.7474 Ry per atom; distance to the lowest polymorph of the same formula = 0.000 kcal/mol of atoms; ΔE_f = -0.081 eV per atom; Fermi-level density of states = 6.1 states/eV/cell; total magnetization = 0.00 μB/f.u.
1.0
2.935 0.000 0.000
0.009 5.876 0.000
1.463 1.391 7.342
V Cr Re
2 6 2
Direct
0.195 0.349 0.109
0.805 0.651 0.891
0.001 0.751 0.499
0.404 0.949 0.691
0.405 0.458 0.690
0.595 0.542 0.310
0.596 0.051 0.309
0.999 0.249 0.501
0.197 0.843 0.108
0.803 0.157 0.892

=====

# 4
Ce2DyTc2, optimized geometry, DFT PBE; symmetry = P-1, No. 2; E = -0.5539 Ry per atom; distance to the lowest polymorph of the same formula = 0.000 kcal/mol of atoms; ΔE_f = -0.096 eV per atom; Fermi-level density of states = 9.9 states/eV/cell; total magnetization = 0.00 μB/f.u.
1.0
4.539 0.000 0.000
1.952 5.595 0.000
1.570 1.621 9.329
Ce Dy Tc
4 2 4
Direct
0.031 0.365 0.194
0.219 0.751 0.421
0.781 0.249 0.579
0.969 0.635 0.806
0.276 0.037 0.870
0.724 0.963 0.130
0.392 0.600 0.119
0.446 0.813 0.606
0.554 0.187 0.394
0.608 0.400 0.881

=====

# 5
SrAl6Cu6, optimized geometry, DFT PBE; symmetry = Immm, No. 71; E = -0.2943 Ry per atom; ΔE_f = -0.257 eV per atom; Fermi-level density of states = 3.6 states/eV/cell; total magnetization = 0.00 μB/f.u.
1.0
-2.554 4.367 4.443
2.554 -4.367 4.443
2.554 4.367 -4.443
Sr Al Cu
1 6 6
Direct
0.000 0.000 0.000
0.212 0.712 0.500
0.349 0.000 0.349
0.352 0.352 0.000
0.648 0.648 0.000
0.651 0.000 0.651
0.788 0.288 0.500
0.000 0.000 0.500
0.000 0.500 0.000
0.235 0.500 0.735
0.500 0.000 0.000
0.500 0.500 0.500
0.765 0.500 0.265

=====

# 6
TiTlCoSe3, optimized geometry, DFT PBE; symmetry = P2_1/m, No. 11; E = -0.3930 Ry per atom; Fermi-level density of states = 4.7 states/eV/cell; total magnetization = 1.47 μB/f.u.; formation energy without anion corrections = -0.7097 eV per atom
1.0
8.281 0.000 0.000
0.000 3.615 0.000
-3.676 0.000 9.254
Ti Tl Co Se
2 2 2 6
Direct
0.029 0.250 0.325
0.971 0.750 0.675
0.493 0.750 0.783
0.507 0.250 0.217
0.020 0.750 0.101
0.980 0.250 0.899
0.166 0.250 0.615
0.176 0.750 0.940
0.249 0.750 0.332
0.751 0.250 0.668
0.824 0.250 0.060
0.834 0.750 0.385

=====

# 7
Zn2FeMo, optimized geometry, DFT PBE; symmetry = R3m, No. 160; E = -0.3892 Ry per atom; distance to the lowest polymorph of the same formula = 2.502 kcal/mol of atoms; ΔE_f = 0.165 eV per atom; Fermi-level density of states = 8.5 states/eV/cell; total magnetization = 0.64 μB/f.u.
1.0
2.715 0.000 0.000
-1.358 2.352 0.000
0.000 0.000 26.499
Zn Fe Mo
6 3 3
Direct
0.000 0.000 0.000
0.000 0.000 0.242
0.333 0.667 0.667
0.333 0.667 0.909
0.667 0.333 0.333
0.667 0.333 0.576
0.000 0.000 0.745
0.333 0.667 0.411
0.667 0.333 0.078
0.000 0.000 0.486
0.333 0.667 0.153
0.667 0.333 0.819

=====

# 8
CsGeTe, optimized geometry, DFT PBE; symmetry = P-6m2, No. 187; E = -0.2350 Ry per atom; distance to the lowest polymorph of the same formula = 3.268 kcal/mol of atoms; Fermi-level density of states = 1.9 states/eV/cell; total magnetization = 0.00 μB/f.u.; formation energy without anion corrections = -0.3259 eV per atom
1.0
5.047 0.000 0.000
-2.523 4.371 0.000
0.000 0.000 5.713
Cs Ge Te
1 1 1
Direct
0.000 0.000 0.000
0.667 0.333 0.500
0.333 0.667 0.500

=====

# 9
Pm11Zn9Ga4, optimized geometry, DFT PBE; symmetry = Cmmm, No. 65; E = -0.2574 Ry per atom; ΔE_f = -0.343 eV per atom; Fermi-level density of states = 22.7 states/eV/cell; total magnetization = 0.00 μB/f.u.
1.0
7.629 -10.370 0.000
7.629 10.370 0.000
0.000 0.000 3.672
Pm Zn Ga
11 9 4
Direct
0.000 0.000 0.000
0.073 0.409 0.000
0.181 0.819 0.000
0.234 0.234 0.000
0.362 0.638 0.000
0.409 0.073 0.000
0.591 0.927 0.000
0.638 0.362 0.000
0.766 0.766 0.000
0.819 0.181 0.000
0.927 0.591 0.000
0.020 0.199 0.500
0.147 0.616 0.500
0.199 0.020 0.500
0.384 0.853 0.500
0.500 0.500 0.500
0.616 0.147 0.500
0.801 0.980 0.500
0.853 0.384 0.500
0.980 0.801 0.500
0.282 0.434 0.500
0.434 0.282 0.500
0.566 0.718 0.500
0.718 0.566 0.500

=====

# 10
CrSnTe2I, optimized geometry, DFT PBE; symmetry = P4/mmm, No. 123; E = -0.3047 Ry per atom; distance to the lowest polymorph of the same formula = 0.000 kcal/mol of atoms; Fermi-level density of states = 2.2 states/eV/cell; total magnetization = 3.48 μB/f.u.; formation energy without anion corrections = 0.1463 eV per atom
1.0
5.360 0.000 0.000
0.000 5.360 0.000
0.000 0.000 5.400
Cr Sn Te I
1 1 2 1
Direct
0.000 0.000 0.000
0.500 0.500 0.500
0.000 0.500 0.000
0.500 0.000 0.000
0.000 0.000 0.500

=====

# 11
LiGa2Ag8, optimized geometry, DFT PBE; symmetry = C2/m, No. 12; E = -0.2104 Ry per atom; distance to the lowest polymorph of the same formula = 0.000 kcal/mol of atoms; ΔE_f = -0.065 eV per atom; Fermi-level density of states = 1.8 states/eV/cell; total magnetization = 0.00 μB/f.u.
1.0
7.256 -2.114 0.000
7.256 2.114 0.000
-2.036 0.000 6.212
Li Ga Ag
1 2 8
Direct
0.000 0.000 0.000
0.275 0.275 0.357
0.725 0.725 0.643
0.094 0.094 0.458
0.180 0.180 0.923
0.361 0.361 0.805
0.454 0.454 0.268
0.546 0.546 0.732
0.639 0.639 0.195
0.820 0.820 0.077
0.906 0.906 0.542

=====

# 12
ScPaBiO6, optimized geometry, DFT PBE; symmetry = P312, No. 149; E = -0.5966 Ry per atom; Fermi-level density of states = 4.3 states/eV/cell; total magnetization = 0.00 μB/f.u.; formation energy without anion corrections = -2.6214 eV per atom
1.0
5.549 0.000 0.000
-2.774 4.805 0.000
0.000 0.000 4.850
Sc Pa Bi O
1 1 1 6
Direct
0.000 0.000 0.000
0.333 0.667 0.500
0.667 0.333 0.000
0.014 0.330 0.242
0.014 0.684 0.758
0.316 0.330 0.758
0.316 0.986 0.242
0.670 0.684 0.242
0.670 0.986 0.758

=====

# 13
TlHg5, optimized geometry, DFT PBE; symmetry = Cmmm, No. 65; E = -0.0493 Ry per atom; distance to the lowest polymorph of the same formula = 0.000 kcal/mol of atoms; ΔE_f = -0.025 eV per atom; Fermi-level density of states = 2.2 states/eV/cell; total magnetization = 0.00 μB/f.u.
1.0
4.752 0.000 0.000
0.000 14.542 0.000
0.000 0.000 4.960
Tl Hg
2 10
Direct
0.000 0.000 0.000
0.500 0.500 0.000
0.000 0.169 0.500
0.000 0.328 0.000
0.000 0.500 0.500
0.000 0.672 0.000
0.000 0.831 0.500
0.500 0.000 0.500
0.500 0.172 0.000
0.500 0.331 0.500
0.500 0.669 0.500
0.500 0.828 0.000

=====

# 14
Mn2BeP, optimized geometry, DFT PBE; symmetry = C2/m, No. 12; E = -0.5112 Ry per atom; distance to the lowest polymorph of the same formula = 5.518 kcal/mol of atoms; ΔE_f = -0.087 eV per atom; Fermi-level density of states = 6.4 states/eV/cell; total magnetization = 2.65 μB/f.u.
1.0
7.543 0.000 0.000
0.000 2.641 0.000
-0.753 0.000 4.232
Mn Be P
4 2 2
Direct
0.246 0.000 0.251
0.254 0.500 0.749
0.746 0.500 0.251
0.754 0.000 0.749
0.000 0.000 0.500
0.500 0.500 0.500
0.000 0.500 0.000
0.500 0.000 0.000

=====

# 15
Pr3Sm2Hg3, optimized geometry, DFT PBE; symmetry = Immm, No. 71; E = -0.2527 Ry per atom; ΔE_f = -0.353 eV per atom; Fermi-level density of states = 20.1 states/eV/cell; total magnetization = 0.36 μB/f.u.
1.0
3.838 0.000 0.000
0.000 5.537 0.000
0.000 0.000 22.682
Pr Sm Hg
6 4 6
Direct
0.000 0.000 0.000
0.000 0.500 0.121
0.000 0.500 0.879
0.500 0.000 0.379
0.500 0.000 0.621
0.500 0.500 0.500
0.000 0.000 0.234
0.000 0.000 0.766
0.500 0.500 0.266
0.500 0.500 0.734
0.000 0.000 0.500
0.000 0.500 0.379
0.000 0.500 0.621
0.500 0.000 0.121
0.500 0.000 0.879
0.500 0.500 0.000

=====

# 16
NaLi3Hg4, optimized geometry, DFT PBE; symmetry = Pmma, No. 51; E = -0.0992 Ry per atom; ΔE_f = -0.317 eV per atom; Fermi-level density of states = 4.1 states/eV/cell; total magnetization = 0.00 μB/f.u.
1.0
9.584 0.000 0.000
0.000 7.099 0.000
0.000 0.000 4.792
Na Li Hg
2 6 8
Direct
0.000 0.000 0.000
0.500 0.000 0.000
0.000 0.500 0.000
0.250 0.000 0.498
0.250 0.500 0.497
0.500 0.500 0.000
0.750 0.000 0.502
0.750 0.500 0.503
0.000 0.273 0.500
0.000 0.727 0.500
0.250 0.273 0.998
0.250 0.727 0.998
0.500 0.273 0.500
0.500 0.727 0.500
0.750 0.273 0.002
0.750 0.727 0.002

=====

# 17
KLi2In8, optimized geometry, DFT PBE; symmetry = Cmmm, No. 65; E = -0.1844 Ry per atom; ΔE_f = -0.070 eV per atom; Fermi-level density of states = 3.9 states/eV/cell; total magnetization = 0.00 μB/f.u.
1.0
3.090 -4.702 0.000
3.090 4.702 0.000
0.000 0.000 11.010
K Li In
1 2 8
Direct
0.000 0.000 0.000
0.000 0.000 0.356
0.000 0.000 0.644
0.000 0.500 0.212
0.000 0.500 0.500
0.000 0.500 0.788
0.500 0.000 0.212
0.500 0.000 0.500
0.500 0.000 0.788
0.500 0.500 0.347
0.500 0.500 0.653

=====

# 18
InSi3Pd, optimized geometry, DFT PBE; symmetry = Pm-3m, No. 221; E = -0.3180 Ry per atom; Fermi-level density of states = 4.0 states/eV/cell; total magnetization = 0.00 μB/f.u.; formation energy without anion corrections = 0.5138 eV per atom
1.0
4.762 0.000 0.000
0.000 4.762 0.000
0.000 0.000 4.762
In Si Pd
1 3 1
Direct
0.000 0.000 0.000
0.000 0.500 0.500
0.500 0.000 0.500
0.500 0.500 0.000
0.500 0.500 0.500

=====

# 19
LiV2SnPt, optimized geometry, DFT PBE; symmetry = P4/mmm, No. 123; E = -0.3944 Ry per atom; ΔE_f = 0.673 eV per atom; Fermi-level density of states = 6.3 states/eV/cell; total magnetization = 5.92 μB/f.u.
1.0
4.934 0.000 0.000
0.000 4.934 0.000
0.000 0.000 5.112
Li V Sn Pt
1 2 1 1
Direct
0.000 0.000 0.000
0.000 0.500 0.500
0.500 0.000 0.500
0.500 0.500 0.000
0.500 0.500 0.500

=====

# 20
Ce7Ge2N2, optimized geometry, DFT PBE; symmetry = C2/m, No. 12; E = -0.4989 Ry per atom; Fermi-level density of states = 25.3 states/eV/cell; total magnetization = 2.33 μB/f.u.; formation energy without anion corrections = -0.6584 eV per atom
1.0
5.663 -3.473 0.000
5.663 3.473 0.000
-0.445 0.000 6.131
Ce Ge N
7 2 2
Direct
0.000 0.000 0.000
0.056 0.482 0.733
0.441 0.441 0.186
0.482 0.056 0.733
0.518 0.944 0.267
0.559 0.559 0.814
0.944 0.518 0.267
0.179 0.821 0.500
0.821 0.179 0.500
0.226 0.226 0.033
0.774 0.774 0.967

=====

# 21
Y2ErZn, optimized geometry, DFT PBE; symmetry = R-3m, No. 166; E = -0.3332 Ry per atom; distance to the lowest polymorph of the same formula = 7.342 kcal/mol of atoms; ΔE_f = 0.157 eV per atom; Fermi-level density of states = 18.0 states/eV/cell; total magnetization = 1.33 μB/f.u.
1.0
3.487 0.000 0.000
-1.743 3.020 0.000
0.000 0.000 33.803
Y Er Zn
6 3 3
Direct
0.000 0.000 0.101
0.000 0.000 0.899
0.333 0.667 0.566
0.333 0.667 0.767
0.667 0.333 0.233
0.667 0.333 0.434
0.000 0.000 0.000
0.333 0.667 0.667
0.667 0.333 0.333
0.000 0.000 0.500
0.333 0.667 0.167
0.667 0.333 0.833

=====

# 22
AcPbIO, optimized geometry, DFT PBE; symmetry = P4/nmm, No. 129; E = -0.4049 Ry per atom; Fermi-level density of states = 1.2 states/eV/cell; total magnetization = 0.00 μB/f.u.; formation energy without anion corrections = -1.9270 eV per atom
1.0
4.350 0.000 0.000
0.000 4.350 0.000
0.000 0.000 15.769
Ac Pb I O
2 2 2 2
Direct
0.250 0.250 0.078
0.750 0.750 0.922
0.250 0.750 0.500
0.750 0.250 0.500
0.250 0.250 0.801
0.750 0.750 0.199
0.250 0.750 0.000
0.750 0.250 0.000

=====

# 23
HfZnTcP2, optimized geometry, DFT PBE; symmetry = P4/mmm, No. 123; E = -0.4405 Ry per atom; ΔE_f = 0.489 eV per atom; Fermi-level density of states = 6.0 states/eV/cell; total magnetization = 0.00 μB/f.u.
1.0
4.511 0.000 0.000
0.000 4.511 0.000
0.000 0.000 4.757
Hf Zn Tc P
1 1 1 2
Direct
0.000 0.000 0.000
0.500 0.500 0.000
0.500 0.500 0.500
0.000 0.500 0.500
0.500 0.000 0.500

=====

# 24
TiCdPt, optimized geometry, DFT PBE; symmetry = C2/m, No. 12; E = -0.3990 Ry per atom; ΔE_f = -0.478 eV per atom; Fermi-level density of states = 8.7 states/eV/cell; total magnetization = 0.00 μB/f.u.
1.0
6.106 0.000 0.000
0.000 6.013 0.000
-0.652 0.000 6.456
Ti Cd Pt
4 4 4
Direct
0.000 0.249 0.000
0.000 0.751 0.000
0.500 0.251 0.000
0.500 0.749 0.000
0.223 0.000 0.639
0.277 0.500 0.361
0.723 0.500 0.639
0.777 0.000 0.361
0.232 0.500 0.787
0.268 0.000 0.213
0.732 0.000 0.787
0.768 0.500 0.213